[1]
The following is a DFT calculation (PBE-GGA) of BaPmB12 after structural relaxation.

```
BaPmB12
1.0
-4.7622 -0.9009 3.4265
-4.0862 -4.0008 -1.5900
-0.5445 -5.0606 3.0537
Ba B Pm
1 12 1
Cartesian
0.0000 0.0000 0.0000
-3.5863 -2.4669 1.0411
-2.3678 -1.2739 1.5152
-8.2828 -7.4481 3.4862
-2.1663 -2.1982 0.0193
-2.3286 -3.7073 0.9299
-2.5302 -2.7829 2.4258
-6.8627 -7.1794 2.4644
-7.0643 -6.2550 3.9603
-5.8066 -7.4954 3.8492
-1.1101 -2.5143 1.4041
-7.2267 -7.7641 4.8710
-7.0251 -8.6885 3.3751
-4.6965 -4.9812 2.4451
```

Calculated values
* symmetry: Fm-3m
* E_form: -0.4394 eV per atom
* DOS(E_F): 3.3 states/eV/cell

=====

[2]
The following is a DFT calculation (PBE-GGA) of KBiIr after structural relaxation.

```
KBiIr
1.0
-3.6990 2.1509 0.6950
-1.5440 -1.4309 -3.7895
-3.9926 -8.4188 4.8056
Ir K Bi
2 2 2
Cartesian
-4.6178 -3.8493 0.8555
-1.9963 -4.2094 2.4028
-2.5590 -0.4207 1.2015
-4.0551 -7.6380 2.0568
-4.4671 -4.4440 3.4981
-2.1470 -3.6147 -0.2398
```

Calculated values
* symmetry: P4/nmm
* E_form: -0.0141 eV per atom
* DOS(E_F): 3.0 states/eV/cell

=====

[3]
The following is a DFT calculation (PBE-GGA) of KPdS2O8 after structural relaxation.

```
KPdS2O8
1.0
-2.5375 0.5345 -4.2836
-4.9731 -0.5541 0.1852
-1.0936 7.8792 1.3234
O K S Pd
8 1 2 1
Cartesian
-5.5792 2.8492 -2.3468
-5.0672 6.1158 0.1592
-3.0250 5.0105 -0.4281
-3.0060 7.4374 0.1734
-4.6871 1.2297 -0.8239
-3.5369 1.7438 -2.9342
-5.5982 0.4222 -2.9484
-3.9171 6.6299 -1.9511
-0.5468 3.9396 0.6617
-4.9210 1.5469 -2.3053
-3.6832 6.3128 -0.4696
0.0000 0.0000 0.0000
```

Calculated values
* symmetry: C2/m
* energy relative to the elements, uncorrected: -1.24 eV per atom
* DOS(E_F): 0.4 states/eV/cell

=====

[4]
The following is a DFT calculation (PBE-GGA) of MgCdInNi after structural relaxation.

```
MgCdInNi
1.0
4.6689 0.0000 0.0000
2.3344 4.0434 0.0000
2.3344 1.3478 3.8121
Mg In Cd Ni
1 1 1 1
Cartesian
4.6689 2.6956 1.9061
2.3344 1.3478 0.9530
7.0033 4.0434 2.8591
0.0000 0.0000 0.0000
```

Calculated values
* symmetry: F-43m
* E_form: -0.0030 eV per atom
* DOS(E_F): 1.3 states/eV/cell

=====

[5]
The following is a DFT calculation (PBE-GGA) of SrCdTe after structural relaxation.

```
SrCdTe
1.0
-0.3304 5.3499 1.1671
-2.9098 3.3389 -3.2369
-4.7260 2.1288 1.7960
Sr Te Cd
1 1 1
Cartesian
-5.9747 8.1131 -0.2054
0.0000 0.0000 0.0000
-3.9831 5.4088 -0.1369
```

Calculated values
* symmetry: F-43m
* energy relative to the elements, uncorrected: -0.76 eV per atom
* polymorph energy (0 for the lowest one): 80 meV per atom

=====

[6]
The following is a DFT calculation (PBE-GGA) of BaNa2AsSe4 after structural relaxation.

```
BaNa2AsSe4
1.0
-2.2218 7.2873 -0.5309
-6.3031 2.1764 1.3240
0.7051 4.5791 4.9752
Se Ba Na As
4 1 2 1
Cartesian
-7.2766 11.5449 3.2003
-1.3902 5.2755 2.3656
-4.0524 9.5824 4.6412
-2.9206 1.6828 1.3294
0.0000 0.0000 0.0000
-5.6599 6.4214 1.9724
-2.1600 7.6214 3.7959
-2.7990 3.3778 3.1496
```

Calculated values
* symmetry: I-42m
* energy relative to the elements, uncorrected: -0.93 eV per atom
* DOS(E_F): 4.3 states/eV/cell

=====

[7]
The following is a DFT calculation (PBE-GGA) of LaTmScAg after structural relaxation.

```
LaTmScAg
1.0
-4.3843 -3.0597 -0.2963
-0.3114 -3.8835 -3.6734
0.2111 -5.1338 1.5069
La Ag Tm Sc
1 1 1 1
Cartesian
-2.2423 -6.0385 -1.2314
-1.1211 -3.0193 -0.6157
0.0000 0.0000 0.0000
-3.3634 -9.0578 -1.8471
```

Calculated values
* symmetry: F-43m
* E_form: 0.0484 eV per atom
* DOS(E_F): 5.7 states/eV/cell

=====

[8]
The following is a DFT calculation (PBE-GGA) of MgOsAu after structural relaxation.

```
MgOsAu
1.0
-2.3400 0.9668 -4.3346
-2.8596 -3.4999 -2.1844
0.9000 2.9485 3.9617
Os Mg Au
1 1 1
Cartesian
-3.4826 -1.6967 -4.3664
-1.7205 -0.8382 -2.1571
-5.1961 -2.5315 -6.5146
```

Calculated values
* symmetry: Imm2
* polymorph energy (0 for the lowest one): 105 meV per atom
* E_form: 0.3229 eV per atom
* DOS(E_F): 2.4 states/eV/cell

=====

Question: What is the formula in the second record?
Answer: KBiIr